Material: La2Tb6Zn
Method: DFT, PBE
State: relaxed

The value obtained for the energy of formation is 0.0969 eV per atom.

The space group is C2/m (No. 12) and the conventional cell measures 17.287, 9.574 and 3.537 Å, with angles of 90.00, 90.04 and 90.00 degrees. Symmetry generates all atoms from La at (0.170, 0.000, 0.498), Tb at (0.000, 0.230, 0.500), Tb at (0.161, 0.329, 0.000) and Zn at (0.000, 0.500, 0.000).

---

Material: LiTl
Method: DFT, PBE
State: relaxed

The value obtained for the energy of formation is -0.0401 eV per atom.

The space group is R-3m (No. 166, hexagonal axes) and the conventional cell measures 3.4845, 3.4845 and 28.4148 Å, with angles of 90.00, 90.00 and 120.00 degrees. Symmetry generates all atoms from Li at (0.0000, 0.0000, 0.1223) and Tl at (0.0000, 0.0000, 0.3792).

---

Material: CrTcPCl2
Method: DFT, PBE
State: relaxed

The relative energy among the computed polymorphs is 311 meV/atom. The uncorrected formation energy is 0.7439 eV/atom.

The space group is P4/mmm (No. 123) and the conventional cell measures 4.417, 4.417 and 5.046 Å, with angles of 90.00, 90.00 and 90.00 degrees. Symmetry generates all atoms from Cr at (0.000, 0.000, 0.000), Tc at (0.500, 0.500, 0.500), P at (0.000, 0.000, 0.500) and Cl at (0.000, 0.500, 0.000).

---

N(E_F)
In order: 1.412, 0.361, 1.134
Unit: states/eV/atom
Magnetic moment
In order: 0.00, 0.00, 4.23
Unit: μB per formula unit
Raw total energy
In order: -4.23, -2.18, -5.07
Unit: eV/atom